(1)
Ac2Y6Ho3: optimized geometry, PBE.

```
data_Ac2Y6Ho3
_chemical_formula_sum 'Ac2 Y6 Ho3'
_space_group_name_H-M_alt 'P 1'
_space_group_IT_number 1
_cell_length_a 6.218
_cell_length_b 6.221
_cell_length_c 12.011
_cell_angle_alpha 85.04
_cell_angle_beta 80.04
_cell_angle_gamma 60.01
loop_
_space_group_symop_operation_xyz
'x,y,z'
loop_
_atom_site_label
_atom_site_fract_x
_atom_site_fract_y
_atom_site_fract_z
Ac1 0.167 0.666 0.500
Ac2 0.833 0.334 0.500
Ho1 0.665 0.670 0.000
Ho2 0.000 0.000 0.000
Ho3 0.335 0.330 0.000
Y1 0.413 0.667 0.760
Y2 0.587 0.333 0.240
Y3 0.919 0.667 0.240
Y4 0.746 0.000 0.760
Y5 0.254 0.000 0.240
Y6 0.081 0.333 0.760
```

Output
Magnetization ... 0.000 μB/atom
Energy of formation from the pure elements ... 2.1 eV/f.u.
DOS(E_F) ... 18.610 states/eV/f.u.



(2)
AcYHo: optimized geometry, PBE.

```
data_AcYHo
_chemical_formula_sum 'Ac2 Y2 Ho2'
_space_group_name_H-M_alt 'P 1'
_space_group_IT_number 1
_cell_length_a 5.084
_cell_length_b 5.084
_cell_length_c 8.792
_cell_angle_alpha 90.00
_cell_angle_beta 90.00
_cell_angle_gamma 90.00
loop_
_space_group_symop_operation_xyz
'x,y,z'
loop_
_atom_site_label
_atom_site_fract_x
_atom_site_fract_y
_atom_site_fract_z
Ac1 0.000 0.000 0.000
Ac2 0.500 0.500 0.000
Ho1 0.500 0.000 0.702
Ho2 0.000 0.500 0.298
Y1 0.500 0.000 0.310
Y2 0.000 0.500 0.690
```

Output
Offset from the most stable computed form ... 276 meV/atom
Magnetization ... 0.000 μB/atom
Energy of formation from the pure elements ... 1.0 eV/f.u.
DOS(E_F) ... 5.010 states/eV/f.u.



(3)
Ac7Y4Ho: optimized geometry, PBE.

```
data_Ac7Y4Ho
_chemical_formula_sum 'Ac7 Y4 Ho1'
_space_group_name_H-M_alt 'P 1'
_space_group_IT_number 1
_cell_length_a 7.107
_cell_length_b 6.993
_cell_length_c 12.245
_cell_angle_alpha 75.01
_cell_angle_beta 54.67
_cell_angle_gamma 83.98
loop_
_space_group_symop_operation_xyz
'x,y,z'
loop_
_atom_site_label
_atom_site_fract_x
_atom_site_fract_y
_atom_site_fract_z
Ho1 0.000 0.000 0.000
Ac1 0.500 0.000 0.000
Ac2 0.191 0.491 0.060
Ac3 0.042 0.297 0.631
Ac4 0.729 0.200 0.401
Ac5 0.809 0.509 0.940
Ac6 0.271 0.800 0.599
Ac7 0.958 0.703 0.369
Y1 0.555 0.646 0.270
Y2 0.445 0.354 0.730
Y3 0.355 0.163 0.291
Y4 0.645 0.837 0.709
```

Output
Magnetization ... 0.000 μB/atom
Energy of formation from the pure elements ... 1.6 eV/f.u.
DOS(E_F) ... 18.155 states/eV/f.u.



(4)
AcY12Ho7: optimized geometry, PBE.

```
data_AcY12Ho7
_chemical_formula_sum 'Ac1 Y12 Ho7'
_space_group_name_H-M_alt 'P 1'
_space_group_IT_number 1
_cell_length_a 8.764
_cell_length_b 8.764
_cell_length_c 8.764
_cell_angle_alpha 87.89
_cell_angle_beta 87.89
_cell_angle_gamma 87.89
loop_
_space_group_symop_operation_xyz
'x,y,z'
loop_
_atom_site_label
_atom_site_fract_x
_atom_site_fract_y
_atom_site_fract_z
Y1 0.380 0.861 0.502
Y2 0.722 0.272 0.144
Y3 0.861 0.502 0.380
Y4 0.498 0.620 0.139
Y5 0.856 0.278 0.728
Y6 0.139 0.498 0.620
Y7 0.502 0.380 0.861
Y8 0.278 0.728 0.856
Y9 0.728 0.856 0.278
Y10 0.620 0.139 0.498
Y11 0.272 0.144 0.722
Y12 0.144 0.722 0.272
Ac1 0.000 0.000 0.000
Ho1 0.845 0.610 0.941
Ho2 0.610 0.941 0.845
Ho3 0.390 0.059 0.155
Ho4 0.059 0.155 0.390
Ho5 0.155 0.390 0.059
Ho6 0.500 0.500 0.500
Ho7 0.941 0.845 0.610
```

Output
Offset from the most stable computed form ... 0 meV/atom
Magnetization ... 0.000 μB/atom
Energy of formation from the pure elements ... 4.9 eV/f.u.
DOS(E_F) ... 41.626 states/eV/f.u.